# MnTl3O

A relaxed MnTl3O crystal (PBE with a Hubbard U, Alexandria).

Summary:
Density of states at the Fermi level: 1.102 states/eV/atom
Energy above the lowest structure with this stoichiometry: 0.5687 eV per atom
Symmetry: No. 221

Cell: 5.4469 5.4469 5.4469 Å, 90.00 90.00 90.00°
Closest atoms and distances in Å follow each position.
Fractional positions:
Mn 0.0000 0.0000 0.0000  6 Tl 2.72
Tl 0.0000 0.0000 0.5000  2 Mn 2.72
Tl 0.0000 0.5000 0.0000  2 Mn 2.72
Tl 0.5000 0.0000 0.0000  2 Mn 2.72
O 0.5000 0.5000 0.5000  12 Tl 3.85